1.
A relaxed ErH8IrPd2 crystal. Source: the Alexandria database, functional PBE.

Lattice parameters (Å, degrees): 4.483 4.483 5.799 92.34 80.31 104.00
Sites, in units of the cell vectors:
Er  0.000  0.000  0.500
H  0.049  0.710  0.161
H  0.725  0.766  0.861
H  0.677  0.036  0.192
H  0.951  0.290  0.839
H  0.275  0.234  0.139
H  0.323  0.964  0.808
H  0.488  0.705  0.440
H  0.512  0.295  0.560
Ir  0.000  0.000  0.000
Pd  0.339  0.574  0.718
Pd  0.661  0.426  0.282

2.
A relaxed ErPuH8Ir2 crystal. Source: the Alexandria database, functional PBE.

Lattice parameters (Å, degrees): 4.460 4.460 7.153 71.83 71.83 60.00
Site moments in Bohr magnetons follow the coordinates.
Sites, in units of the cell vectors:
Er  0.000  0.000  0.000  -0.03
Pu  0.500  0.500  0.500  4.81
H  0.152  0.152  0.545  -0.01
H  0.465  0.465  0.154  0.00
H  0.848  0.848  0.455  -0.01
H  0.916  0.465  0.154  0.00
H  0.084  0.535  0.846  0.00
H  0.465  0.916  0.154  0.00
H  0.535  0.084  0.846  0.00
H  0.535  0.535  0.846  0.00
Ir  0.238  0.238  0.287  -0.13
Ir  0.762  0.762  0.713  -0.13

3.
A relaxed ErSiHIr crystal. Source: the Alexandria database, functional PBE.

Lattice parameters (Å, degrees): 4.027 4.027 7.092 90.00 90.00 90.00
Sites, in units of the cell vectors:
Er  0.500  0.000  0.653
Er  0.000  0.500  0.347
Si  0.000  0.500  0.813
Si  0.500  0.000  0.187
H  0.000  0.000  0.500
H  0.500  0.500  0.500
Ir  0.500  0.500  0.000
Ir  0.000  0.000  0.000

4.
A relaxed ErSiHIr2 crystal. Source: the Alexandria database, functional PBE.

Lattice parameters (Å, degrees): 3.800 5.647 7.111 90.00 90.00 109.66
Sites, in units of the cell vectors:
Er  0.444  0.888  0.750
Er  0.556  0.112  0.250
Si  0.724  0.449  0.750
Si  0.276  0.551  0.250
H  0.000  0.000  0.000
H  0.000  0.000  0.500
Ir  0.159  0.318  0.946
Ir  0.841  0.682  0.054
Ir  0.159  0.318  0.554
Ir  0.841  0.682  0.446

5.
A relaxed ErSnH6Ir2 crystal. Source: the Alexandria database, functional PBE.

Lattice parameters (Å, degrees): 7.747 7.747 5.398 103.12 103.12 118.82
Sites, in units of the cell vectors:
Er  0.082  0.918  0.250
Er  0.918  0.082  0.750
Sn  0.701  0.299  0.250
Sn  0.299  0.701  0.750
H  0.047  0.403  0.091
H  0.597  0.953  0.409
H  0.953  0.597  0.909
H  0.403  0.047  0.591
H  0.265  0.177  0.109
H  0.823  0.735  0.391
H  0.735  0.823  0.891
H  0.177  0.265  0.609
H  0.323  0.457  0.389
H  0.543  0.677  0.111
H  0.677  0.543  0.611
H  0.457  0.323  0.889
Ir  0.320  0.074  0.852
Ir  0.926  0.680  0.648
Ir  0.680  0.926  0.148
Ir  0.074  0.320  0.352

6.
A relaxed ErZnH6Ir2 crystal. Source: the Alexandria database, functional PBE.

Lattice parameters (Å, degrees): 4.471 4.471 5.807 67.36 67.36 60.00
Sites, in units of the cell vectors:
Er  0.000  0.000  0.000
Zn  0.500  0.500  0.500
H  0.054  0.557  0.831
H  0.558  0.054  0.831
H  0.443  0.442  0.169
H  0.946  0.443  0.169
H  0.442  0.946  0.169
H  0.557  0.558  0.831
Ir  0.789  0.789  0.633
Ir  0.211  0.211  0.367

7.
A relaxed K2ErH6 crystal. Source: the Alexandria database, functional PBE.

Lattice parameters (Å, degrees): 6.111 6.111 6.111 60.00 60.00 60.00
Site moments in Bohr magnetons follow the coordinates.
Sites, in units of the cell vectors:
H  0.244  0.756  0.244  0.07
H  0.756  0.244  0.244  0.07
H  0.244  0.756  0.756  0.07
H  0.756  0.244  0.756  0.07
H  0.756  0.756  0.244  0.07
H  0.244  0.244  0.756  0.07
K  0.750  0.750  0.750  0.00
K  0.250  0.250  0.250  0.00
Er  0.000  0.000  0.000  0.18

8.
A relaxed KErH crystal. Source: the Alexandria database, functional PBE.

Lattice parameters (Å, degrees): 3.550 3.551 13.766 90.00 90.00 119.98
Sites, in units of the cell vectors:
H  0.615  0.230  0.000
H  0.274  0.548  0.500
K  0.608  0.216  0.372
K  0.608  0.216  0.628
Er  0.281  0.562  0.888
Er  0.281  0.562  0.112

9.
A relaxed KErHSe2O9 crystal. Source: the Alexandria database, functional PBE.

Lattice parameters (Å, degrees): 5.748 8.899 9.519 68.71 81.07 71.54
Site moments in Bohr magnetons follow the coordinates.
Sites, in units of the cell vectors:
K  0.261  0.784  0.969  0.00
K  0.739  0.216  0.031  0.00
Er  0.704  0.623  0.605  -0.02
Er  0.296  0.377  0.395  -0.02
H  0.260  0.135  0.252  -0.01
H  0.740  0.865  0.748  -0.01
Se  0.161  0.822  0.366  0.00
Se  0.839  0.178  0.634  0.00
Se  0.800  0.553  0.212  0.00
Se  0.200  0.447  0.788  0.00
O  0.254  0.663  0.296  0.00
O  0.746  0.337  0.704  0.00
O  0.124  0.001  0.222  0.02
O  0.876  0.999  0.778  0.02
O  0.621  0.199  0.525  0.03
O  0.379  0.801  0.475  0.03
O  0.104  0.179  0.533  0.03
O  0.896  0.821  0.467  0.03
O  0.716  0.750  0.102  0.07
O  0.284  0.250  0.898  0.07
O  0.628  0.435  0.207  0.00
O  0.372  0.565  0.793  0.00
O  0.829  0.526  0.396  0.01
O  0.171  0.474  0.604  0.01
O  0.100  0.468  0.162  0.19
O  0.900  0.532  0.838  0.19
O  0.364  0.207  0.253  0.58
O  0.636  0.793  0.747  0.58

10.
A relaxed K3ErSi3H2O10 crystal. Source: the Alexandria database, functional PBE.

Lattice parameters (Å, degrees): 5.917 13.251 13.759 90.00 90.00 90.00
Sites, in units of the cell vectors:
K  0.919  0.132  0.750
K  0.589  0.140  0.514
K  0.589  0.140  0.986
K  0.089  0.360  0.486
K  0.089  0.360  0.014
K  0.419  0.368  0.250
K  0.581  0.632  0.750
K  0.911  0.640  0.986
K  0.911  0.640  0.514
K  0.411  0.860  0.014
K  0.411  0.860  0.486
K  0.081  0.868  0.250
Er  0.591  0.038  0.250
Er  0.091  0.462  0.750
Er  0.909  0.538  0.250
Er  0.409  0.962  0.750
Si  0.092  0.097  0.105
Si  0.092  0.097  0.395
Si  0.416  0.249  0.750
Si  0.916  0.251  0.250
Si  0.592  0.403  0.605
Si  0.592  0.403  0.895
Si  0.408  0.597  0.105
Si  0.408  0.597  0.395
Si  0.084  0.749  0.750
Si  0.584  0.751  0.250
Si  0.908  0.903  0.895
Si  0.908  0.903  0.605
H  0.113  0.070  0.560
H  0.113  0.070  0.940
H  0.613  0.430  0.060
H  0.613  0.430  0.440
H  0.387  0.570  0.940
H  0.387  0.570  0.560
H  0.887  0.930  0.060
H  0.887  0.930  0.440
O  0.872  0.028  0.132
O  0.872  0.028  0.368
O  0.330  0.043  0.132
O  0.330  0.043  0.368
O  0.425  0.128  0.750
O  0.090  0.129  0.513
O  0.090  0.129  0.987
O  0.668  0.201  0.250
O  0.069  0.211  0.154
O  0.069  0.211  0.346
O  0.569  0.289  0.654
O  0.569  0.289  0.846
O  0.168  0.299  0.750
O  0.590  0.371  0.487
O  0.590  0.371  0.013
O  0.925  0.372  0.250
O  0.830  0.457  0.632
O  0.830  0.457  0.868
O  0.372  0.472  0.632
O  0.372  0.472  0.868
O  0.628  0.528  0.132
O  0.628  0.528  0.368
O  0.170  0.543  0.132
O  0.170  0.543  0.368
O  0.075  0.628  0.750
O  0.410  0.629  0.987
O  0.410  0.629  0.513
O  0.832  0.701  0.250
O  0.431  0.711  0.154
O  0.431  0.711  0.346
O  0.931  0.789  0.654
O  0.931  0.789  0.846
O  0.332  0.799  0.750
O  0.910  0.871  0.013
O  0.910  0.871  0.487
O  0.575  0.872  0.250
O  0.670  0.957  0.632
O  0.670  0.957  0.868
O  0.128  0.972  0.632
O  0.128  0.972  0.868

11.
A relaxed La2ErH crystal. Source: the Alexandria database, functional PBE.

Lattice parameters (Å, degrees): 3.697 3.697 9.239 78.46 78.46 60.00
Sites, in units of the cell vectors:
H  0.000  0.000  0.000
La  0.724  0.724  0.828
La  0.276  0.276  0.172
Er  0.500  0.500  0.500

12.
A relaxed LaEr2H crystal. Source: the Alexandria database, functional PBE.

Lattice parameters (Å, degrees): 3.354 3.354 8.688 90.00 90.00 90.00
Sites, in units of the cell vectors:
H  0.500  0.500  0.000
La  0.500  0.500  0.500
Er  0.000  0.000  0.816
Er  0.000  0.000  0.184

Results for total magnetization: 0.00; 4.54; 0.00; 0.00; 0.00; 0.00; 1.04; 0.00; 2.21; 0.00; 0.00; 0.00 (in Bohr magnetons per cell, following the order of the records).
Results for calculated volume: 9.29; 9.58; 14.37; 14.37; 12.70; 9.01; 17.93; 25.05; 15.36; 14.19; 26.60; 24.44 (in A^3/atom, following the order of the records).
Results for DFT total energy: -0.164; -0.201; -0.237; -0.256; -0.180; -0.172; -0.106; -0.106; -0.208; -0.247; -0.168; -0.154 (in hartree per atom, following the order of the records).